Crystalline NaEr2Zr at its relaxed geometry, computed with GGA-PBE.

Cell: 3.401 3.401 10.271 Å, 90.00 90.00 90.00°
Fractional coordinates of all 4 atoms:
Er  0.000  0.000  0.215
Er  0.000  0.000  0.785
Na  0.500  0.500  0.500
Zr  0.500  0.500  0.000

The calculation puts the energy relative to the lowest polymorph listed for this composition at 0.00 eV per formula unit. The formation energy comes out at 114.9 meV/atom. The value obtained for the density of states at the Fermi level is 3.5 states/eV/f.u.

Crystalline B5C7 at its relaxed geometry, computed with GGA-PBE.

Cell: 2.560 2.443 12.526 Å, 90.00 90.00 90.00°
Fractional coordinates of all 12 atoms:
C  0.000  0.500  0.741
C  0.500  0.000  0.259
C  0.000  0.000  0.673
C  0.000  0.500  0.401
C  0.000  0.500  0.084
C  0.000  0.000  0.328
C  0.000  0.000  0.017
B  0.500  0.000  0.590
B  0.500  0.500  0.824
B  0.500  0.500  0.169
B  0.500  0.000  0.934
B  0.500  0.500  0.480

The calculation puts the energy relative to the lowest polymorph listed for this composition at 0.64 eV per formula unit. The formation energy comes out at 311.1 meV/atom. The value obtained for the density of states at the Fermi level is 1.3 states/eV/f.u.

Crystalline CaLa3 at its relaxed geometry, computed with GGA-PBE.

Cell: 7.179 7.179 7.179 Å, 149.31 125.11 64.21°
Fractional coordinates of all 4 atoms:
Ca  0.005  0.000  0.005
La  0.418  0.756  0.661
La  0.905  0.244  0.661
La  0.506  0.500  0.006

The formation energy comes out at 52.3 meV/atom. The value obtained for the density of states at the Fermi level is 6.5 states/eV/f.u.